Compound: Ti2GaBrCl
Source: Alexandria via LeMat-Bulk
Functional: GGA-PBE
Structure: relaxed

Calculated values
M_tot	0.00	μB/cell
E_form (uncorrected)	0.382	eV/atom
raw total energy	-4.09	eV/atom

Cell: 4.5389 5.6261 4.5389 Å, 90.00 90.00 90.00°
Fractional positions:
Cl1 0.0000 0.0000 0.0000
Ga1 0.0000 0.5000 0.0000
Br1 0.5000 0.5000 0.5000
Ti1 0.0000 0.0000 0.5000
Ti2 0.5000 0.0000 0.0000